# 1
# Ac3LaIn (PBE, relaxed)
# Energy relative to the lowest polymorph listed for this composition ... 135 kJ/mol of formula units
data_Ac3LaIn
_chemical_formula_sum 'Ac12 La4 In4'
_space_group_name_H-M_alt 'I m a 2'
_space_group_IT_number 46
_space_group_name_Hall 'I 2 -2a'
_cell_length_a 12.2610
_cell_length_b 8.6781
_cell_length_c 7.6741
_cell_angle_alpha 90.00
_cell_angle_beta 90.00
_cell_angle_gamma 90.00
loop_
_atom_site_label
_atom_site_type_symbol
_atom_site_fract_x
_atom_site_fract_y
_atom_site_fract_z
_atom_site_occupancy
Ac1 Ac 0.0294 0.2498 0.0000 1
Ac2 Ac 0.2500 0.0563 0.2515 1
La1 La 0.2500 0.7497 0.0046 1
In1 In 0.2500 0.0604 0.7530 1

***

# 2
# AcLa4In4 (PBE, relaxed)
# VASP energy ... -4.140 eV per atom
data_AcLa4In4
_chemical_formula_sum 'Ac2 La8 In8'
_space_group_name_H-M_alt 'P 42/n'
_space_group_IT_number 86
_cell_length_a 9.6003
_cell_length_b 9.6003
_cell_length_c 6.3772
_cell_angle_alpha 90.00
_cell_angle_beta 90.00
_cell_angle_gamma 90.00
loop_
_space_group_symop_operation_xyz
'x,y,z'
'-x,-y,-z'
'-y,x+1/2,z+1/2'
'y,-x+1/2,-z+1/2'
'-x+1/2,-y+1/2,z'
'x+1/2,y+1/2,-z'
'y+1/2,-x,z+1/2'
'-y+1/2,x,-z+1/2'
loop_
_atom_site_label
_atom_site_type_symbol
_atom_site_fract_x
_atom_site_fract_y
_atom_site_fract_z
_atom_site_occupancy
Ac1 Ac 0.2500 0.2500 0.2500 1
La1 La 0.0878 0.8243 0.6284 1
In1 In 0.0452 0.1416 0.8515 1

***

# 3
# Ac2La6In (PBE, relaxed)
# Energy relative to the lowest polymorph listed for this composition ... 216 kJ/mol of formula units
data_Ac2La6In
_chemical_formula_sum 'Ac2 La6 In1'
_space_group_name_H-M_alt 'P -3 1 m'
_space_group_IT_number 162
_space_group_name_Hall '-P 3 2'
_cell_length_a 6.6785
_cell_length_b 6.6785
_cell_length_c 9.8052
_cell_angle_alpha 90.00
_cell_angle_beta 90.00
_cell_angle_gamma 120.00
loop_
_atom_site_label
_atom_site_type_symbol
_atom_site_fract_x
_atom_site_fract_y
_atom_site_fract_z
_atom_site_occupancy
Ac1 Ac 0.3333 0.6667 0.0000 1
La1 La 0.0000 0.3929 0.3178 1
In1 In 0.0000 0.0000 0.5000 1

***

# 4
# AcLa4In5 (PBE, relaxed)
# VASP energy ... -4.246 eV per atom
data_AcLa4In5
_chemical_formula_sum 'Ac1 La4 In5'
_space_group_name_H-M_alt 'P 4/m m m'
_space_group_IT_number 123
_space_group_name_Hall '-P 4 2'
_cell_length_a 3.9753
_cell_length_b 3.9753
_cell_length_c 20.0079
_cell_angle_alpha 90.00
_cell_angle_beta 90.00
_cell_angle_gamma 90.00
loop_
_atom_site_label
_atom_site_type_symbol
_atom_site_fract_x
_atom_site_fract_y
_atom_site_fract_z
_atom_site_occupancy
Ac1 Ac 0.0000 0.0000 0.0000 1
La1 La 0.0000 0.0000 0.2053 1
La2 La 0.0000 0.0000 0.4019 1
In1 In 0.5000 0.5000 0.1080 1
In2 In 0.5000 0.5000 0.3042 1
In3 In 0.5000 0.5000 0.5000 1

***

# 5
# Ac2La3In (PBE, relaxed)
# Energy relative to the lowest polymorph listed for this composition ... 0 kJ/mol of formula units
data_Ac2La3In
_chemical_formula_sum 'Ac4 La6 In2'
_space_group_name_H-M_alt 'C m m m'
_space_group_IT_number 65
_space_group_name_Hall '-C 2 2'
_cell_length_a 5.1920
_cell_length_b 16.2708
_cell_length_c 5.1679
_cell_angle_alpha 90.00
_cell_angle_beta 90.00
_cell_angle_gamma 90.00
loop_
_atom_site_label
_atom_site_type_symbol
_atom_site_fract_x
_atom_site_fract_y
_atom_site_fract_z
_atom_site_occupancy
Ac1 Ac 0.0000 0.1643 0.0000 1
La1 La 0.0000 0.0000 0.5000 1
La2 La 0.0000 0.3444 0.5000 1
In1 In 0.0000 0.5000 0.0000 1

***

# 6
# Ac2La2In3 (PBE, relaxed)
# Energy relative to the lowest polymorph listed for this composition ... 21 kJ/mol of formula units
data_Ac2La2In3
_chemical_formula_sum 'Ac4 La4 In6'
_space_group_name_H-M_alt 'C m m m'
_space_group_IT_number 65
_space_group_name_Hall '-C 2 2'
_cell_length_a 4.7152
_cell_length_b 26.2579
_cell_length_c 3.7180
_cell_angle_alpha 90.00
_cell_angle_beta 90.00
_cell_angle_gamma 90.00
loop_
_atom_site_label
_atom_site_type_symbol
_atom_site_fract_x
_atom_site_fract_y
_atom_site_fract_z
_atom_site_occupancy
Ac1 Ac 0.0000 0.0745 0.0000 1
La1 La 0.0000 0.2100 0.0000 1
In1 In 0.0000 0.3475 0.5000 1
In2 In 0.0000 0.5000 0.5000 1

***

# 7
# AcLa3In4 (PBE, relaxed)
# VASP energy ... -4.217 eV per atom
data_AcLa3In4
_chemical_formula_sum 'Ac2 La6 In8'
_space_group_name_H-M_alt 'P m m a'
_space_group_IT_number 51
_space_group_name_Hall '-P 2a 2a'
_cell_length_a 11.3168
_cell_length_b 7.9586
_cell_length_c 5.6569
_cell_angle_alpha 90.00
_cell_angle_beta 90.00
_cell_angle_gamma 90.00
loop_
_atom_site_label
_atom_site_type_symbol
_atom_site_fract_x
_atom_site_fract_y
_atom_site_fract_z
_atom_site_occupancy
Ac1 Ac 0.0000 0.0000 0.0000 1
La1 La 0.0000 0.5000 0.0000 1
La2 La 0.2500 0.0000 0.4989 1
La3 La 0.2500 0.5000 0.4985 1
In1 In 0.0000 0.2565 0.5000 1
In2 In 0.2500 0.2565 0.9985 1

***

# 8
# Ac2La3In (PBE, relaxed)
# Energy relative to the lowest polymorph listed for this composition ... 36 kJ/mol of formula units
data_Ac2La3In
_chemical_formula_sum 'Ac8 La12 In4'
_space_group_name_H-M_alt 'C 1 2/m 1'
_space_group_IT_number 12
_space_group_name_Hall '-C 2y'
_cell_length_a 6.5434
_cell_length_b 11.3935
_cell_length_c 12.1506
_cell_angle_alpha 90.00
_cell_angle_beta 100.54
_cell_angle_gamma 90.00
loop_
_atom_site_label
_atom_site_type_symbol
_atom_site_fract_x
_atom_site_fract_y
_atom_site_fract_z
_atom_site_occupancy
Ac1 Ac 0.0000 0.0000 0.0000 1
Ac2 Ac 0.0000 0.1640 0.5000 1
Ac3 Ac 0.0000 0.5000 0.5000 1
La1 La 0.2207 0.5000 0.2363 1
La2 La 0.2434 0.3225 0.7605 1
In1 In 0.0000 0.3299 0.0000 1